# MnWO4

A relaxed MnWO4 crystal (GGA+U, Alexandria via LeMat-Bulk).

Summary:
Total magnetic moment: 10.00 μB per cell
DOS at the Fermi energy: 0.14 states/eV/f.u.
Raw total energy: -7.61 eV per atom

Cell and atoms, written as POSCAR:
```
MnWO4
1.0
6.443 0.000 0.000
0.000 6.552 0.000
0.000 0.000 3.231
Mn W O
2 2 8
direct
0.000 0.000 0.000
0.500 0.500 0.000
0.000 0.500 0.500
0.500 0.000 0.500
0.000 0.206 0.500
0.000 0.794 0.500
0.198 0.500 0.000
0.302 0.000 0.000
0.500 0.294 0.500
0.500 0.706 0.500
0.698 0.000 0.000
0.802 0.500 0.000
```